(1)
VASP calculation (GGA-PBE) on a relaxed Cs2RbAg3P2 crystal.

Cell and atoms, written as POSCAR:
```
Cs2RbAg3P2
1.0
3.2453 1.8737 7.1453
-3.2453 1.8737 7.1453
0.0000 -3.7474 7.1453
Ag Cs P Rb
3 2 2 1
Direct
0.5000 0.5000 0.0000
0.5000 0.0000 0.5000
0.0000 0.5000 0.5000
0.0932 0.0932 0.0932
0.9068 0.9068 0.9068
0.2592 0.2592 0.2592
0.7408 0.7408 0.7408
0.5000 0.5000 0.5000
```

## Properties
Space-group type: R-3m, No. 166


(2)
VASP calculation (GGA-PBE) on a relaxed Cs3RbAg2P2 crystal.

Cell and atoms, written as POSCAR:
```
Cs3RbAg2P2
1.0
6.7424 0.0000 0.0000
0.0000 6.3988 0.0000
-1.9740 0.0000 6.4746
Ag Cs P Rb
2 3 2 1
Direct
0.4996 0.2501 0.4977
0.4996 0.7499 0.4977
0.6886 0.5000 0.0301
0.9703 0.0000 0.3125
0.0347 0.5000 0.6883
0.2675 0.5000 0.2617
0.7254 0.0000 0.7388
0.3143 0.0000 0.9732
```

## Properties
Space-group type: Pm, No. 6


(3)
VASP calculation (GGA-PBE) on a relaxed Cs2AgPS4 crystal.

Cell and atoms, written as POSCAR:
```
Cs2AgPS4
1.0
-0.6492 -5.9200 -3.2793
4.0585 -4.9689 3.3020
-6.9641 -6.3541 6.2835
Ag Cs P S
2 4 2 8
Direct
0.6400 0.0810 0.0806
0.3600 0.9190 0.9194
0.7616 0.5190 0.1853
0.2658 0.2360 0.4035
0.7342 0.7640 0.5965
0.2384 0.4810 0.8147
0.1397 0.8665 0.2279
0.8603 0.1335 0.7721
0.2515 0.6551 0.1187
0.2370 0.1242 0.1249
0.8089 0.9478 0.2694
0.2467 0.7490 0.3923
0.7533 0.2510 0.6077
0.1911 0.0522 0.7306
0.7630 0.8758 0.8751
0.7485 0.3449 0.8813
```

## Properties
Space-group type: P-1, No. 2


(4)
VASP calculation (GGA-PBE) on a relaxed CsAgPSe3 crystal.

Cell and atoms, written as POSCAR:
```
CsAgPSe3
1.0
6.9554 0.0000 -0.0390
0.0000 12.7178 0.0000
-0.9142 0.0000 8.7422
Ag Cs P Se
4 4 4 12
Direct
0.4536 0.9423 0.1378
0.0464 0.4423 0.3622
0.9536 0.5577 0.6378
0.5464 0.0577 0.8622
0.7475 0.6700 0.0138
0.7525 0.1700 0.4862
0.2475 0.8300 0.5138
0.2525 0.3300 0.9862
0.9607 0.0403 0.1120
0.5393 0.5403 0.3880
0.4607 0.4597 0.6120
0.0393 0.9597 0.8880
0.7818 0.1788 0.0400
0.8145 0.9190 0.2428
0.2342 0.0894 0.2442
0.2658 0.5894 0.2558
0.6855 0.4190 0.2572
0.7182 0.6788 0.4600
0.2818 0.3212 0.5400
0.3145 0.5810 0.7428
0.7342 0.4106 0.7442
0.7658 0.9106 0.7558
0.1855 0.0810 0.7572
0.2182 0.8212 0.9600
```

## Properties
Space-group type: P2_1/c, No. 14


(5)
VASP calculation (GGA-PBE) on a relaxed CsAgPb crystal.

Cell and atoms, written as POSCAR:
```
CsAgPb
1.0
0.0000 4.1482 4.1482
4.1482 0.0000 4.1482
4.1482 4.1482 0.0000
Ag Cs Pb
1 1 1
Direct
0.2500 0.2500 0.2500
0.0000 0.0000 0.0000
0.7500 0.7500 0.7500
```

## Properties
Space-group type: F-43m, No. 216


(6)
VASP calculation (GGA-PBE) on a relaxed CsAgPb crystal.

Cell and atoms, written as POSCAR:
```
CsAgPb
1.0
0.0000 3.9404 3.9404
3.9404 0.0000 3.9404
3.9404 3.9404 0.0000
Ag Cs Pb
1 1 1
Direct
0.0000 0.0000 0.0000
0.2500 0.2500 0.2500
0.7500 0.7500 0.7500
```

## Properties
Space-group type: F-43m, No. 216


(7)
VASP calculation (GGA-PBE) on a relaxed CsAgPbSe3 crystal.

Cell and atoms, written as POSCAR:
```
CsAgPbSe3
1.0
8.0311 -2.0595 0.0000
8.0311 2.0595 0.0000
0.0000 0.0000 11.5517
Ag Cs Pb Se
2 2 2 6
Direct
0.5569 0.5569 0.2500
0.4431 0.4431 0.7500
0.2614 0.2614 0.2500
0.7386 0.7386 0.7500
0.0000 0.0000 0.0000
0.0000 0.0000 0.5000
0.6250 0.6250 0.0433
0.9522 0.9522 0.2500
0.6250 0.6250 0.4567
0.3750 0.3750 0.5433
0.0478 0.0478 0.7500
0.3750 0.3750 0.9567
```

## Properties
Space-group type: Cmcm, No. 63


(8)
VASP calculation (GGA-PBE) on a relaxed CsAgPbSe3 crystal.

Cell and atoms, written as POSCAR:
```
CsAgPbSe3
1.0
9.3146 0.0000 0.0000
0.0000 4.3271 0.0000
-3.7510 0.0000 9.7222
Ag Cs Pb Se
2 2 2 6
Direct
0.5626 0.2500 0.0914
0.4374 0.7500 0.9086
0.2624 0.7500 0.2211
0.7376 0.2500 0.7789
0.8194 0.7500 0.3667
0.1806 0.2500 0.6333
0.7349 0.7500 0.0737
0.0316 0.2500 0.3486
0.6097 0.2500 0.3599
0.3903 0.7500 0.6401
0.9684 0.7500 0.6514
0.2651 0.2500 0.9263
```

## Properties
Space-group type: P2_1/m, No. 11


(9)
VASP calculation (GGA-PBE) on a relaxed CsAgTePbSe2 crystal.

Cell and atoms, written as POSCAR:
```
CsAgTePbSe2
1.0
-7.0728 2.9520 4.3229
5.2338 -6.3947 -3.0237
6.2716 0.4151 9.9776
Ag Cs Pb Se Te
2 2 2 4 2
Direct
0.0497 0.9503 0.2500
0.9503 0.0497 0.7500
0.7414 0.2586 0.2500
0.2586 0.7414 0.7500
0.5000 0.5000 0.0000
0.5000 0.5000 0.5000
0.1177 0.8823 0.0504
0.1177 0.8823 0.4496
0.8823 0.1177 0.5504
0.8823 0.1177 0.9496
0.4359 0.5641 0.2500
0.5641 0.4359 0.7500
```

## Properties
Space-group type: Cmcm, No. 63


(10)
VASP calculation (GGA-PBE) on a relaxed CsAgTe3Pb crystal.

Cell and atoms, written as POSCAR:
```
CsAgTe3Pb
1.0
-1.9932 6.9430 -5.3880
-0.6971 -8.5365 2.8018
-9.1632 3.2246 7.5451
Ag Cs Pb Te
2 2 2 6
Direct
0.0635 0.9365 0.2500
0.9365 0.0635 0.7500
0.7610 0.2390 0.2500
0.2390 0.7610 0.7500
0.5000 0.5000 0.0000
0.5000 0.5000 0.5000
0.1331 0.8669 0.0434
0.4506 0.5494 0.2500
0.1331 0.8669 0.4566
0.8669 0.1331 0.5434
0.5494 0.4506 0.7500
0.8669 0.1331 0.9566
```

## Properties
Space-group type: Cmcm, No. 63


(11)
VASP calculation (GGA-PBE) on a relaxed CsAgTe3Pb crystal.

Cell and atoms, written as POSCAR:
```
CsAgTe3Pb
1.0
10.1979 0.0000 0.0000
0.0000 4.5280 0.0000
-4.2631 0.0000 9.6891
Ag Cs Pb Te
2 2 2 6
Direct
0.5528 0.2500 0.1001
0.4472 0.7500 0.8999
0.2348 0.7500 0.2018
0.7652 0.2500 0.7982
0.7839 0.7500 0.4038
0.2161 0.2500 0.5962
0.7356 0.7500 0.0924
0.9784 0.2500 0.3014
0.5673 0.2500 0.3748
0.4327 0.7500 0.6252
0.0216 0.7500 0.6986
0.2644 0.2500 0.9076
```

## Properties
Space-group type: P2_1/m, No. 11


(12)
VASP calculation (GGA-PBE) on a relaxed CsAgPdSe2S crystal.

Cell and atoms, written as POSCAR:
```
CsAgPdSe2S
1.0
-1.4697 4.2955 6.7038
-1.2499 -6.4104 -4.7850
7.6304 -5.2452 5.0337
Ag Cs Pd S Se
2 2 2 2 4
Direct
0.9513 0.0487 0.2500
0.0487 0.9513 0.7500
0.2455 0.7545 0.2500
0.7545 0.2455 0.7500
0.5000 0.5000 0.0000
0.5000 0.5000 0.5000
0.5491 0.4509 0.2500
0.4509 0.5491 0.7500
0.8954 0.1046 0.0188
0.8954 0.1046 0.4812
0.1046 0.8954 0.5188
0.1046 0.8954 0.9812
```

## Properties
Space-group type: Cmcm, No. 63


Values for calculated total energy, eV per atom, ordered as above
-3.05; -2.80; -4.07; -3.79; -1.68; -2.11; -3.39; -3.42; -3.30; -3.13; -3.15; -3.65